Record 1
PrDy2ScTe4: optimized geometry, PBE.

For the total energy, the calculation gives -42.90 eV for the cell shown. The calculation puts the density of states at the Fermi level at 0.651 states/eV per atom. The value obtained for the volume is 234.90 Å³/cell.

The space group is P2/m (No. 10) and the conventional cell measures 7.5292, 4.3098 and 7.6490 Å, with angles of 90.00, 108.85 and 90.00 degrees. The inequivalent atoms are Pr at (0.0000, 0.0000, 0.0000), Dy at (0.5000, 0.0000, 0.5000), Dy at (0.5000, 0.5000, 0.0000), Sc at (0.0000, 0.5000, 0.5000), Te at (0.2453, 0.0000, 0.7361) and Te at (0.2547, 0.5000, 0.2640).

Record 2
AlZnSi2: optimized geometry, PBE.

For the total energy, the calculation gives -57.66 eV for the cell shown. The calculation puts the density of states at the Fermi level at 0.316 states/eV per atom. The value obtained for the volume is 254.45 Å³/cell.

The space group is Fm-3m (No. 225) and the conventional cell measures 6.3367, 6.3367 and 6.3367 Å, with angles of 90.00, 90.00 and 90.00 degrees. The inequivalent atoms are Al at (0.0000, 0.0000, 0.0000), Zn at (0.0000, 0.0000, 0.5000) and Si at (0.2500, 0.2500, 0.2500).

Record 3
Ce2GdAg: optimized geometry, PBE.

Its energy of formation from the pure elements is 60 meV/atom. For the total energy, the calculation gives -28.56 eV for the cell shown. The calculation puts the density of states at the Fermi level at 3.055 states/eV per atom. The value obtained for the volume is 112.04 Å³/cell.

The space group is P4/mmm (No. 123) and the conventional cell measures 3.4326, 3.4326 and 9.5092 Å, with angles of 90.00, 90.00 and 90.00 degrees. The inequivalent atoms are Ce at (0.0000, 0.0000, 0.2250), Gd at (0.5000, 0.5000, 0.5000) and Ag at (0.5000, 0.5000, 0.0000).

Record 4
Tb5Ce2Tm6: optimized geometry, PBE.

Its energy of formation from the pure elements is 127 meV/atom. For the total energy, the calculation gives -120.39 eV for the cell shown. The calculation puts the density of states at the Fermi level at 1.755 states/eV per atom. The value obtained for the volume is 816.31 Å³/cell.

The space group is Pbam (No. 55) and the conventional cell measures 11.3161, 20.5554 and 3.5094 Å, with angles of 90.00, 90.00 and 90.00 degrees. The inequivalent atoms are Tb at (0.0000, 0.0000, 0.0000), Tb at (0.0646, 0.2941, 0.0000), Tb at (0.1872, 0.5787, 0.0000), Ce at (0.1890, 0.7358, 0.5000), Tm at (0.0657, 0.1471, 0.5000), Tm at (0.0839, 0.4382, 0.5000) and Tm at (0.1846, 0.8762, 0.0000).

Record 5
SiPt2Pb: optimized geometry, PBE.

For the total energy, the calculation gives -45.57 eV for the cell shown. The calculation puts the density of states at the Fermi level at 0.371 states/eV per atom. The value obtained for the volume is 159.31 Å³/cell.

The space group is C2/m (No. 12) and the conventional cell measures 6.7798, 3.9192 and 6.4440 Å, with angles of 90.00, 111.51 and 90.00 degrees. The inequivalent atoms are Si at (0.0000, 0.0000, 0.0000), Pt at (0.2191, 0.5000, 0.1515) and Pb at (0.0000, 0.5000, 0.5000).

Record 6
Ti4Nb3Mo2: optimized geometry, PBE.

Its energy of formation from the pure elements is -54 meV/atom. For the total energy, the calculation gives -167.87 eV for the cell shown. The calculation puts the density of states at the Fermi level at 1.345 states/eV per atom. The value obtained for the volume is 306.48 Å³/cell.

The space group is P-1 (No. 2) and the conventional cell measures 5.5657, 7.2807 and 7.9752 Å, with angles of 78.99, 89.90 and 75.31 degrees. The inequivalent atoms are Ti at (0.0185, 0.1801, 0.3856), Ti at (0.1383, 0.8232, 0.9565), Ti at (0.3078, 0.8325, 0.2953), Ti at (0.4200, 0.5024, 0.8301), Nb at (0.1900, 0.1676, 0.7310), Nb at (0.2563, 0.4859, 0.4939), Nb at (0.3637, 0.1708, 0.0687), Mo at (0.0789, 0.5009, 0.1600) and Mo at (0.4690, 0.8424, 0.6113).